The following is a DFT calculation (PBE) of a relaxed Hf5Ge2C crystal.

Properties
Total energy (eV/atom): -8.61
Magnetization (μB per formula unit): 0.00

a b c (Å): 4.433 14.184 11.069
angles (deg): 90.00 90.00 90.00
Space group Cmcm (No. 63)
Inequivalent atoms, fractional coordinates:
1 Hf 0.000 0.097 0.106 [8 per cell]
2 Hf 0.000 0.279 0.750 [4 per cell]
3 Hf 0.000 0.305 0.070 [8 per cell]
4 Ge 0.000 0.094 0.640 [8 per cell]
5 C 0.000 0.205 0.250 [4 per cell]

---

The following is a DFT calculation (PBE) of a relaxed VPdPb3 crystal.

Properties
Total energy (eV/atom): -4.50
Magnetization (μB per formula unit): 1.19
Polymorph energy (0 for the lowest one) (eV/f.u.): 0.00

a b c (Å): 5.239 5.239 5.239
angles (deg): 90.00 90.00 90.00
Space group Pm-3m (No. 221)
Inequivalent atoms, fractional coordinates:
1 V 0.000 0.000 0.000 [1 per cell]
2 Pd 0.500 0.500 0.500 [1 per cell]
3 Pb 0.000 0.000 0.500 [3 per cell]

---

The following is a DFT calculation (PBE) of a relaxed La2CePr3As6 crystal.

Properties
Total energy (eV/atom): -6.35
Magnetization (μB per formula unit): 0.56

a b c (Å): 18.802 4.318 8.636
angles (deg): 90.00 103.24 90.00
Space group C2/m (No. 12)
Inequivalent atoms, fractional coordinates:
1 La 0.166 0.000 0.333 [4 per cell]
2 Ce 0.000 0.500 0.000 [2 per cell]
3 Pr 0.000 0.500 0.500 [2 per cell]
4 Pr 0.167 0.000 0.833 [4 per cell]
5 As 0.001 0.000 0.757 [4 per cell]
6 As 0.164 0.500 0.080 [4 per cell]
7 As 0.166 0.500 0.585 [4 per cell]

---

The following is a DFT calculation (PBE) of a relaxed Tm11Mg9Cu4 crystal.

Properties
Total energy (eV/atom): -3.47
Magnetization (μB per formula unit): 0.00

a b c (Å): 14.637 22.087 3.586
angles (deg): 90.00 90.00 90.00
Space group Cmmm (No. 65)
Inequivalent atoms, fractional coordinates:
1 Tm 0.000 0.000 0.000 [2 per cell]
2 Tm 0.000 0.155 0.000 [4 per cell]
3 Tm 0.000 0.370 0.000 [4 per cell]
4 Tm 0.192 0.500 0.000 [4 per cell]
5 Tm 0.249 0.168 0.000 [8 per cell]
6 Mg 0.000 0.500 0.500 [2 per cell]
7 Mg 0.106 0.259 0.500 [8 per cell]
8 Mg 0.146 0.071 0.500 [8 per cell]
9 Cu 0.147 0.401 0.500 [8 per cell]

---

The following is a DFT calculation (PBE) of a relaxed PI3N crystal.

Properties
E_form (uncorrected) (meV/atom): 913
Total energy (eV/atom): -2.76
Magnetization (μB per formula unit): 0.00
Polymorph energy (0 for the lowest one) (eV/f.u.): 0.00

a b c (Å): 14.740 7.700 8.271
angles (deg): 90.00 119.81 90.00
Space group C2/m (No. 12)
Inequivalent atoms, fractional coordinates:
1 P 0.000 0.248 0.000 [4 per cell]
2 I 0.025 0.500 0.255 [4 per cell]
3 I 0.037 0.000 0.262 [4 per cell]
4 I 0.233 0.000 0.929 [4 per cell]
5 N 0.092 0.000 0.696 [4 per cell]

---

The following is a DFT calculation (PBE) of a relaxed GaSeSCl2 crystal.

Properties
E_form (uncorrected) (meV/atom): -9
Total energy (eV/atom): -2.88
Magnetization (μB per formula unit): 0.00
Polymorph energy (0 for the lowest one) (eV/f.u.): 0.00

a b c (Å): 5.097 5.097 4.929
angles (deg): 90.00 90.00 90.00
Space group P4/mmm (No. 123)
Inequivalent atoms, fractional coordinates:
1 Ga 0.000 0.000 0.000 [1 per cell]
2 Se 0.500 0.500 0.500 [1 per cell]
3 S 0.500 0.500 0.000 [1 per cell]
4 Cl 0.000 0.500 0.500 [2 per cell]

---

Q: The highest total energy belongs to which entry?
A: PI3N